1.
## Sc2CdGaPd4 (PBE)

Data for a relaxed structure of Sc2CdGaPd4.

The structure in CIF format:
```
data_Sc2CdGaPd4
_chemical_formula_sum 'Sc6 Cd3 Ga3 Pd12'
_cell_length_a 4.5699
_cell_length_b 4.5699
_cell_length_c 22.5142
_cell_angle_alpha 90.00
_cell_angle_beta 90.00
_cell_angle_gamma 120.00
_symmetry_space_group_name_H-M 'R -3 m'
_symmetry_Int_Tables_number 166
_symmetry_space_group_name_Hall '-R 3 2"'
loop_
_atom_site_label
_atom_site_type_symbol
_atom_site_fract_x
_atom_site_fract_y
_atom_site_fract_z
_atom_site_occupancy
Sc1 Sc 0.0000 0.0000 0.2501 1
Cd1 Cd 0.0000 0.0000 0.0000 1
Ga1 Ga 0.0000 0.0000 0.5000 1
Pd1 Pd 0.0000 0.0000 0.1289 1
Pd2 Pd 0.0000 0.0000 0.3806 1
```

Output
energy relative to the elements	-0.792	eV per atom

***

2.
## Al2InRu (PBE)

Data for a relaxed structure of Al2InRu.

The structure in CIF format:
```
data_Al2InRu
_chemical_formula_sum 'Al4 In2 Ru2'
_cell_length_a 5.914
_cell_length_b 6.601
_cell_length_c 3.316
_cell_angle_alpha 90.00
_cell_angle_beta 90.00
_cell_angle_gamma 90.00
_symmetry_space_group_name_H-M 'C m m m'
_symmetry_Int_Tables_number 65
_symmetry_space_group_name_Hall '-C 2 2'
loop_
_atom_site_label
_atom_site_type_symbol
_atom_site_fract_x
_atom_site_fract_y
_atom_site_fract_z
_atom_site_occupancy
Al1 Al 0.250 0.250 0.000 1
In1 In 0.000 0.000 0.500 1
Ru1 Ru 0.000 0.500 0.500 1
```

Output
energy relative to the elements	-0.027	eV per atom

***

3.
## Pm8AsC3I4 (PBE)

Data for a relaxed structure of Pm8AsC3I4.

The structure in CIF format:
```
data_Pm8AsC3I4
_chemical_formula_sum 'Pm24 As3 C9 I12'
_cell_length_a 7.9702
_cell_length_b 7.9702
_cell_length_c 23.0916
_cell_angle_alpha 90.00
_cell_angle_beta 90.00
_cell_angle_gamma 120.00
_symmetry_space_group_name_H-M 'R -3 m'
_symmetry_Int_Tables_number 166
_symmetry_space_group_name_Hall '-R 3 2"'
loop_
_atom_site_label
_atom_site_type_symbol
_atom_site_fract_x
_atom_site_fract_y
_atom_site_fract_z
_atom_site_occupancy
Pm1 Pm 0.0000 0.0000 0.2238 1
Pm2 Pm 0.0280 0.5140 0.7743 1
As1 As 0.0000 0.0000 0.5000 1
C1 C 0.0000 0.5000 0.5000 1
I1 I 0.0000 0.0000 0.0000 1
I2 I 0.0000 0.5000 0.0000 1
```

Output
ΔE_f (raw)	-850	meV/atom

***

4.
## Pm2PaIn (PBE)

Data for a relaxed structure of Pm2PaIn.

The structure in CIF format:
```
data_Pm2PaIn
_chemical_formula_sum 'Pm2 Pa1 In1'
_cell_length_a 4.947
_cell_length_b 4.947
_cell_length_c 4.618
_cell_angle_alpha 90.00
_cell_angle_beta 90.00
_cell_angle_gamma 90.00
_symmetry_space_group_name_H-M 'P 4/m m m'
_symmetry_Int_Tables_number 123
_symmetry_space_group_name_Hall '-P 4 2'
loop_
_atom_site_label
_atom_site_type_symbol
_atom_site_fract_x
_atom_site_fract_y
_atom_site_fract_z
_atom_site_occupancy
Pm1 Pm 0.000 0.500 0.000 1
Pa1 Pa 0.000 0.000 0.500 1
In1 In 0.500 0.500 0.500 1
```

Output
energy relative to the elements	-0.029	eV per atom
offset from the most stable computed form	36	meV/atom

***

5.
## NdTm4P5 (PBE)

Data for a relaxed structure of NdTm4P5.

The structure in CIF format:
```
data_NdTm4P5
_chemical_formula_sum 'Nd2 Tm8 P10'
_cell_length_a 13.237
_cell_length_b 3.996
_cell_length_c 9.786
_cell_angle_alpha 90.00
_cell_angle_beta 119.50
_cell_angle_gamma 90.00
_symmetry_space_group_name_H-M 'C 1 2/m 1'
_symmetry_Int_Tables_number 12
loop_
_symmetry_equiv_pos_as_xyz
'x,y,z'
'-x,-y,-z'
'-x,y,-z'
'x,-y,z'
'x+1/2,y+1/2,z'
'-x+1/2,-y+1/2,-z'
'-x+1/2,y+1/2,-z'
'x+1/2,-y+1/2,z'
loop_
_atom_site_label
_atom_site_type_symbol
_atom_site_fract_x
_atom_site_fract_y
_atom_site_fract_z
_atom_site_occupancy
Nd1 Nd 0.000 0.000 0.000 1
Tm1 Tm 0.098 0.500 0.400 1
Tm2 Tm 0.201 0.000 0.796 1
P1 P 0.000 0.000 0.500 1
P2 P 0.105 0.500 0.896 1
P3 P 0.203 0.000 0.307 1
```

Output
energy relative to the elements	-1.580	eV per atom

***

6.
## Al2CoIr (PBE)

Data for a relaxed structure of Al2CoIr.

The structure in CIF format:
```
data_Al2CoIr
_chemical_formula_sum 'Al4 Co2 Ir2'
_cell_length_a 2.964
_cell_length_b 4.648
_cell_length_c 7.867
_cell_angle_alpha 90.00
_cell_angle_beta 90.00
_cell_angle_gamma 90.00
_symmetry_space_group_name_H-M 'C m m m'
_symmetry_Int_Tables_number 65
_symmetry_space_group_name_Hall '-C 2 2'
loop_
_atom_site_label
_atom_site_type_symbol
_atom_site_fract_x
_atom_site_fract_y
_atom_site_fract_z
_atom_site_occupancy
Al1 Al 0.000 0.000 0.237 1
Co1 Co 0.000 0.500 0.000 1
Ir1 Ir 0.000 0.500 0.500 1
```

Output
energy relative to the elements	-0.355	eV per atom
offset from the most stable computed form	429	meV/atom

***

no.,VASP energy (eV per atom),spin magnetization (μB/f.u.)
1,-5.46,0.00
2,-4.90,0.00
3,-5.63,0.00
4,-5.46,0.00
5,-6.55,0.00
6,-6.22,0.75